No. 1
# La8Os3AuI4 | Alexandria | PBE | relaxed
data_La8Os3AuI4
_cell_length_a 8.590
_cell_length_b 9.603
_cell_length_c 8.589
_cell_angle_alpha 116.54
_cell_angle_beta 120.01
_cell_angle_gamma 90.00
_symmetry_space_group_name_H-M 'P 1'
_symmetry_Int_Tables_number 1
loop_
_symmetry_equiv_pos_as_xyz
'x,y,z'
loop_
_atom_site_label
_atom_site_type_symbol
_atom_site_fract_x
_atom_site_fract_y
_atom_site_fract_z
La1 La 0.729 0.688 0.459
La2 La 0.761 0.315 0.054
I1 I 0.500 0.000 0.000
La3 La 0.239 0.685 0.478
I2 I 0.000 0.000 0.000
La4 La 0.293 0.315 0.054
La5 La 0.239 0.685 0.946
La6 La 0.707 0.685 0.946
Os1 Os 0.000 0.500 0.500
La7 La 0.271 0.312 0.541
I3 I 0.500 0.000 0.500
I4 I 0.000 0.000 0.500
Au1 Au 0.000 0.500 0.000
Os2 Os 0.500 0.500 0.000
La8 La 0.761 0.315 0.522
Os3 Os 0.500 0.500 0.500
# V (Å³/cell): 525.5
# SG: R-3m, No. 166
# Formation energy (no corrections) (meV per atom): -797.8

=====

No. 2
# La4OsAuI2 | Alexandria | PBE | relaxed
data_La4OsAuI2
_cell_length_a 4.336
_cell_length_b 7.546
_cell_length_c 8.598
_cell_angle_alpha 106.87
_cell_angle_beta 90.00
_cell_angle_gamma 90.00
_symmetry_space_group_name_H-M 'P 1'
_symmetry_Int_Tables_number 1
loop_
_symmetry_equiv_pos_as_xyz
'x,y,z'
loop_
_atom_site_label
_atom_site_type_symbol
_atom_site_fract_x
_atom_site_fract_y
_atom_site_fract_z
I1 I 0.500 0.000 0.500
I2 I 0.000 0.500 0.500
La1 La 0.500 0.256 0.190
La2 La 0.500 0.744 0.810
Au1 Au 0.000 0.000 0.000
La3 La 0.000 0.285 0.812
Os1 Os 0.500 0.500 0.000
La4 La 0.000 0.715 0.188
# V (Å³/cell): 269.2
# SG: P2/m, No. 10
# Formation energy (no corrections) (meV per atom): -869.9

=====

No. 3
# La8OsAu3I4 | Alexandria | PBE | relaxed
data_La8OsAu3I4
_cell_length_a 8.776
_cell_length_b 9.633
_cell_length_c 8.777
_cell_angle_alpha 117.11
_cell_angle_beta 120.00
_cell_angle_gamma 90.00
_symmetry_space_group_name_H-M 'P 1'
_symmetry_Int_Tables_number 1
loop_
_symmetry_equiv_pos_as_xyz
'x,y,z'
loop_
_atom_site_label
_atom_site_type_symbol
_atom_site_fract_x
_atom_site_fract_y
_atom_site_fract_z
Au1 Au 0.500 0.500 0.000
La1 La 0.752 0.694 0.973
La2 La 0.248 0.306 0.027
La3 La 0.779 0.306 0.027
La4 La 0.779 0.306 0.558
Au2 Au 0.500 0.500 0.500
La5 La 0.221 0.694 0.442
I1 I 0.500 0.000 0.500
Os1 Os 0.000 0.500 0.000
I2 I 0.000 0.000 0.500
Au3 Au 0.000 0.500 0.500
La6 La 0.733 0.698 0.465
La7 La 0.221 0.694 0.973
La8 La 0.267 0.302 0.535
I3 I 0.500 0.000 0.000
I4 I 0.000 0.000 0.000
# V (Å³/cell): 546.4
# SG: R-3m, No. 166
# Formation energy (no corrections) (meV per atom): -895.8

=====

No. 4
# La6P2AuI3 | Alexandria | PBE | relaxed
data_La6P2AuI3
_cell_length_a 7.549
_cell_length_b 7.549
_cell_length_c 8.109
_cell_angle_alpha 98.88
_cell_angle_beta 98.88
_cell_angle_gamma 119.85
_symmetry_space_group_name_H-M 'P 1'
_symmetry_Int_Tables_number 1
loop_
_symmetry_equiv_pos_as_xyz
'x,y,z'
loop_
_atom_site_label
_atom_site_type_symbol
_atom_site_fract_x
_atom_site_fract_y
_atom_site_fract_z
La1 La 0.415 0.068 0.205
I1 I 0.500 0.500 0.500
La2 La 0.932 0.585 0.795
La3 La 0.721 0.721 0.203
La4 La 0.585 0.932 0.795
I2 I 0.836 0.164 0.500
La5 La 0.068 0.415 0.205
Au1 Au 0.000 0.000 0.000
I3 I 0.164 0.836 0.500
P1 P 0.667 0.333 0.000
P2 P 0.333 0.667 0.000
La6 La 0.279 0.279 0.797
# V (Å³/cell): 381.3
# SG: C2/m, No. 12
# Formation energy (no corrections) (meV per atom): -1249.6